(1)
Rb3BaCl6 | the Alexandria database | PBE | optimized geometry; final energy = -3.2867 eV per atom; M_tot = 1.0 μB per formula unit
1.0
-5.080 0.620 6.977
6.658 -2.249 5.048
2.327 5.078 6.609
Cl Rb Ba
6 3 1
Cartesian
1.191 -1.229 9.076
3.779 -1.545 5.521
1.572 2.188 6.316
-2.201 -0.083 6.504
0.387 -0.399 2.949
2.332 1.262 12.318
0.789 -0.814 6.013
4.887 1.007 8.835
-0.982 2.442 9.799
0.000 0.000 0.000


(2)
RbBa2Cl | the Alexandria database | PBE | optimized geometry; final energy = -1.9408 eV per atom; M_tot = 2.0 μB per formula unit
1.0
-0.898 0.721 6.620
1.018 5.977 2.897
-5.218 3.544 2.317
Ba Rb Cl
2 1 1
Cartesian
-1.274 2.560 2.959
-3.823 7.681 8.876
-2.549 5.121 5.917
0.000 0.000 0.000